DFT (GGA-PBE) results for a relaxed structure of Zn2AgHg2Pd5.

Cell and atoms, written as POSCAR:
```
Zn2AgHg2Pd5
1.0
-2.2199 2.2320 -2.1748
-5.3174 -7.4787 -2.2476
-5.5621 1.7184 7.4410
Hg Pd Zn Ag
4 10 4 2
direct
0.0000 0.6695 0.1695 Hg
0.0000 0.8305 0.6695 Hg
0.0000 0.1695 0.3305 Hg
0.0000 0.3305 0.8305 Hg
0.5000 0.5000 0.0000 Pd
0.5000 0.1959 0.0868 Pd
0.5000 0.8041 0.9132 Pd
0.5000 0.5868 0.6959 Pd
0.5000 0.9132 0.1959 Pd
0.5000 0.3041 0.5868 Pd
0.5000 0.4132 0.3041 Pd
0.5000 0.6959 0.4132 Pd
0.5000 0.0000 0.5000 Pd
0.5000 0.0868 0.8041 Pd
0.0000 0.6280 0.8720 Zn
0.0000 0.8720 0.3720 Zn
0.0000 0.3720 0.1280 Zn
0.0000 0.1280 0.6280 Zn
0.0000 0.0000 0.0000 Ag
0.0000 0.5000 0.5000 Ag
```

Properties
- Spin magnetization: 0.000 μB per formula unit
- VASP energy: -3.37 eV per atom
- ΔE_f: -0.171 eV/atom
- Space-group type: No. 127